Record 1
The following is a PBE calculation of crystalline AsOs3 at its relaxed geometry, from the Alexandria database.

Summary:
- energy (eV per atom) = -8.7936
- E above lowest polymorph (eV/atom) = 0.540
- formation energy (eV per atom) = 0.79

a b c (Å): 2.7409 4.7723 9.4432
angles (deg): 90.00 90.00 90.00
Closest atoms and distances in Å follow each position.
Space group Cmmm (No. 65)
One atom of each set of equivalent atoms:
As 0.0000 0.0000 0.0000 (multiplicity 2)  6 As 2.74-2.75, 4 Os 2.81
Os 0.0000 0.0000 0.5000 (multiplicity 2)  10 Os 2.65-2.75
Os 0.0000 0.5000 0.2595 (multiplicity 4)  8 Os 2.65-2.75, 2 As 2.81

Record 2
The following is a PBE calculation of crystalline CoCuRe2 at its relaxed geometry, from the Alexandria database.

Summary:
- energy (eV per atom) = -8.8649
- E above lowest polymorph (eV/atom) = 0.000
- formation energy (eV per atom) = 0.16

a b c (Å): 2.6088 4.1067 4.9795
angles (deg): 90.00 101.14 90.00
Closest atoms and distances in Å follow each position.
Space group Pm (No. 6)
One atom of each set of equivalent atoms:
Co 0.0000 0.0000 0.0000 (multiplicity 1)  2 Cu 2.39, 5 Re 2.58-2.67, 2 Co 2.61
Cu 0.1065 0.5000 0.2494 (multiplicity 1)  2 Co 2.39, 4 Re 2.58-2.66, 2 Cu 2.61
Re 0.4382 0.5000 0.7723 (multiplicity 1)  3 Cu 2.58-2.68, 4 Re 2.61-2.67, 4 Co 2.65-2.70
Re 0.6747 0.0000 0.4771 (multiplicity 1)  3 Co 2.58-2.67, 4 Re 2.61-2.67, 4 Cu 2.66-2.70

Record 3
The following is a PBE calculation of crystalline Ga2Pd2Pt5 at its relaxed geometry, from the Alexandria database.

Summary:
- energy (eV per atom) = -5.2599
- E above lowest polymorph (eV/atom) = 0.146
- formation energy (eV per atom) = -0.08

a b c (Å): 4.1380 5.5666 8.1334
angles (deg): 70.98 75.30 68.32
Closest atoms and distances in Å follow each position.
Space group P-1 (No. 2)
One atom of each set of equivalent atoms:
Ga 0.1506 0.1565 0.0432 (multiplicity 2)  7 Pt 2.52-2.70, 2 Ga 2.82
Pd 0.3454 0.3488 0.4592 (multiplicity 2)  5 Pt 2.64-2.80, 2 Pd 2.77
Pt 0.1050 0.5364 0.7547 (multiplicity 2)  2 Ga 2.52-2.59, 3 Pd 2.64-2.74, 3 Pt 2.80
Pt 0.3708 0.9903 0.7670 (multiplicity 2)  3 Ga 2.53-2.55, 2 Pd 2.64-2.80, 2 Pt 2.72-2.80
Pt 0.5000 0.5000 0.0000 (multiplicity 1)  4 Ga 2.69-2.70, 6 Pt 2.72-2.80

Record 4
The following is a PBE calculation of crystalline Li2InBi at its relaxed geometry, from the Alexandria database.

Summary:
- energy (eV per atom) = -2.9706
- formation energy (eV per atom) = -0.36

a b c (Å): 7.0967 7.0967 7.0967
angles (deg): 90.00 90.00 90.00
Closest atoms and distances in Å follow each position.
Space group Fm-3m (No. 225)
One atom of each set of equivalent atoms:
Li 0.2500 0.2500 0.2500 (multiplicity 8)  4 In 3.07, 4 Bi 3.07
In 0.0000 0.0000 0.0000 (multiplicity 4)  8 Li 3.07
Bi 0.0000 0.0000 0.5000 (multiplicity 4)  8 Li 3.07

Record 5
The following is a PBE calculation of crystalline PaFe2Si at its relaxed geometry, from the Alexandria database.

Summary:
- formation energy (no corrections) (meV per atom) = -228
- energy (eV per atom) = -8.1889

a b c (Å): 4.1182 4.1182 3.4642
angles (deg): 90.00 90.00 90.00
Closest atoms and distances in Å follow each position.
Space group P4/mmm (No. 123)
One atom of each set of equivalent atoms:
Pa 0.0000 0.0000 0.0000 (multiplicity 1)  8 Fe 2.69, 4 Si 2.91
Fe 0.0000 0.5000 0.5000 (multiplicity 2)  4 Si 2.69, 4 Pa 2.69, 4 Fe 2.91
Si 0.5000 0.5000 0.0000 (multiplicity 1)  8 Fe 2.69, 4 Pa 2.91

Record 6
The following is a PBE calculation of crystalline SmGdOsRu at its relaxed geometry, from the Alexandria database.

Summary:
- energy (eV per atom) = -9.8750
- formation energy (eV per atom) = -0.05

a b c (Å): 6.9039 6.9039 6.9039
angles (deg): 90.00 90.00 90.00
Closest atoms and distances in Å follow each position.
Space group F-43m (No. 216)
One atom of each set of equivalent atoms:
Sm 0.0000 0.0000 0.0000 (multiplicity 4)  4 Ru 2.99, 4 Os 2.99
Gd 0.0000 0.0000 0.5000 (multiplicity 4)  4 Os 2.99, 4 Ru 2.99
Os 0.2500 0.2500 0.2500 (multiplicity 4)  4 Gd 2.99, 4 Sm 2.99
Ru 0.2500 0.2500 0.7500 (multiplicity 4)  4 Gd 2.99, 4 Sm 2.99

Record 7
The following is a PBE calculation of crystalline CdOsAu2 at its relaxed geometry, from the Alexandria database.

Summary:
- energy (eV per atom) = -4.1126
- formation energy (eV per atom) = 0.56

a b c (Å): 4.1400 4.1400 8.1852
angles (deg): 90.00 90.00 90.00
Closest atoms and distances in Å follow each position.
Space group I-4m2 (No. 119)
One atom of each set of equivalent atoms:
Cd 0.0000 0.0000 0.0000 (multiplicity 2)  4 Os 2.91, 8 Au 2.91-2.93
Os 0.0000 0.5000 0.7500 (multiplicity 2)  4 Cd 2.91, 8 Au 2.91-2.93
Au 0.0000 0.0000 0.5000 (multiplicity 2)  4 Os 2.91, 4 Au 2.91, 4 Cd 2.93
Au 0.0000 0.5000 0.2500 (multiplicity 2)  4 Cd 2.91, 4 Au 2.91, 4 Os 2.93

Record 8
The following is a PBE calculation of crystalline TaMn2MoRu at its relaxed geometry, from the Alexandria database.

Summary:
- energy (eV per atom) = -8.4728
- formation energy (eV per atom) = 1.59

a b c (Å): 4.3390 4.3390 4.9181
angles (deg): 90.00 90.00 90.00
Closest atoms and distances in Å follow each position.
Space group P4/mmm (No. 123)
One atom of each set of equivalent atoms:
Ta 0.0000 0.0000 0.0000 (multiplicity 1)  2 Mo 2.46
Mn 0.0000 0.5000 0.5000 (multiplicity 2)  2 Mo 2.17
Mo 0.0000 0.0000 0.5000 (multiplicity 1)  4 Mn 2.17
Ru 0.5000 0.5000 0.0000 (multiplicity 1)  4 Ta 3.07, 8 Mn 3.28

Question: What is the energy in the fifth record?
Answer: -8.1889 eV per atom

Copy entry 2 word for word.
The following is a PBE calculation of crystalline CoCuRe2 at its relaxed geometry, from the Alexandria database.

Summary:
- energy (eV per atom) = -8.8649
- E above lowest polymorph (eV/atom) = 0.000
- formation energy (eV per atom) = 0.16

a b c (Å): 2.6088 4.1067 4.9795
angles (deg): 90.00 101.14 90.00
Closest atoms and distances in Å follow each position.
Space group Pm (No. 6)
One atom of each set of equivalent atoms:
Co 0.0000 0.0000 0.0000 (multiplicity 1)  2 Cu 2.39, 5 Re 2.58-2.67, 2 Co 2.61
Cu 0.1065 0.5000 0.2494 (multiplicity 1)  2 Co 2.39, 4 Re 2.58-2.66, 2 Cu 2.61
Re 0.4382 0.5000 0.7723 (multiplicity 1)  3 Cu 2.58-2.68, 4 Re 2.61-2.67, 4 Co 2.65-2.70
Re 0.6747 0.0000 0.4771 (multiplicity 1)  3 Co 2.58-2.67, 4 Re 2.61-2.67, 4 Cu 2.66-2.70

Question: The lowest energy belongs to which entry?
Answer: SmGdOsRu

Question: Which of these has the highest energy?
Answer: Li2InBi